1.
A plane-wave DFT calculation with PBE was carried out for crystalline MgBr2Cl at its relaxed geometry.

```
MgBr2Cl
1.0
4.456 0.000 0.000
0.000 4.456 0.000
0.000 0.000 5.348
Mg Br Cl
1 2 1
Cartesian
0.000 0.000 0.000
2.228 2.228 1.335
2.228 2.228 4.013
0.000 0.000 2.674
```

ΔE to the lowest computed polymorph (eV per formula unit): 1.778
Crystal system: tetragonal
Raw formation energy (eV per atom): -0.55
Energy (eV/cell): -8.97
Calculated density (g cm⁻³): 3.43
Total magnetization (Bohr magnetons per cell): 0.00

2.
A plane-wave DFT calculation with PBE was carried out for crystalline SrMnSiMo2 at its relaxed geometry.

```
SrMnSiMo2
1.0
4.580 0.000 0.000
0.000 4.580 0.000
0.000 0.000 5.402
Sr Mn Si Mo
1 1 1 2
Cartesian
0.000 0.000 0.000
2.290 2.290 0.000
0.000 0.000 2.701
0.000 2.290 2.701
2.290 0.000 2.701
```

ΔE to the lowest computed polymorph (eV per formula unit): 0.000
Crystal system: tetragonal
Raw formation energy (eV per atom): 1.58
Energy (eV/cell): -30.04
Calculated density (g cm⁻³): 5.31
Total magnetization (Bohr magnetons per cell): 0.44